# 1
Material: CrGaI2
Method: DFT, PBE-GGA
State: relaxed

Computed properties:
Raw formation energy = 841 meV per atom

CIF file:
```
data_CrGaI2
_cell_length_a 7.180
_cell_length_b 7.180
_cell_length_c 7.180
_cell_angle_alpha 90.00
_cell_angle_beta 90.00
_cell_angle_gamma 90.00
_symmetry_space_group_name_H-M 'F m -3 m'
_symmetry_Int_Tables_number 225
_symmetry_space_group_name_Hall '-F 4 2 3'
loop_
_atom_site_label
_atom_site_type_symbol
_atom_site_fract_x
_atom_site_fract_y
_atom_site_fract_z
Cr1 Cr 0.000 0.000 0.000
Ga1 Ga 0.000 0.000 0.500
I1 I 0.250 0.250 0.250
```

***

# 2
Material: CrGa2I8
Method: DFT, PBE-GGA
State: relaxed

Computed properties:
Raw formation energy = -431 meV per atom

CIF file:
```
data_CrGa2I8
_cell_length_a 17.166
_cell_length_b 9.307
_cell_length_c 7.122
_cell_angle_alpha 90.00
_cell_angle_beta 97.79
_cell_angle_gamma 90.00
_symmetry_space_group_name_H-M 'C 1 2/m 1'
_symmetry_Int_Tables_number 12
loop_
_symmetry_equiv_pos_as_xyz
'x,y,z'
'-x,-y,-z'
'-x,y,-z'
'x,-y,z'
'x+1/2,y+1/2,z'
'-x+1/2,-y+1/2,-z'
'-x+1/2,y+1/2,-z'
'x+1/2,-y+1/2,z'
loop_
_atom_site_label
_atom_site_type_symbol
_atom_site_fract_x
_atom_site_fract_y
_atom_site_fract_z
Cr1 Cr 0.000 0.000 0.000
Ga1 Ga 0.162 0.000 0.411
I1 I 0.076 0.209 0.230
I2 I 0.156 0.000 0.767
I3 I 0.200 0.500 0.673
```

***

# 3
Material: CrGa2I
Method: DFT, PBE-GGA
State: relaxed

Computed properties:
Raw formation energy = 1108 meV per atom

CIF file:
```
data_CrGa2I
_cell_length_a 6.822
_cell_length_b 6.822
_cell_length_c 6.822
_cell_angle_alpha 90.00
_cell_angle_beta 90.00
_cell_angle_gamma 90.00
_symmetry_space_group_name_H-M 'F m -3 m'
_symmetry_Int_Tables_number 225
_symmetry_space_group_name_Hall '-F 4 2 3'
loop_
_atom_site_label
_atom_site_type_symbol
_atom_site_fract_x
_atom_site_fract_y
_atom_site_fract_z
Cr1 Cr 0.000 0.000 0.000
Ga1 Ga 0.250 0.250 0.250
I1 I 0.000 0.000 0.500
```

***

# 4
Material: CrGa3I
Method: DFT, PBE-GGA
State: relaxed

Computed properties:
Raw formation energy = 274 meV per atom

CIF file:
```
data_CrGa3I
_cell_length_a 5.039
_cell_length_b 5.039
_cell_length_c 5.039
_cell_angle_alpha 90.00
_cell_angle_beta 90.00
_cell_angle_gamma 90.00
_symmetry_space_group_name_H-M 'P m -3 m'
_symmetry_Int_Tables_number 221
_symmetry_space_group_name_Hall '-P 4 2 3'
loop_
_atom_site_label
_atom_site_type_symbol
_atom_site_fract_x
_atom_site_fract_y
_atom_site_fract_z
Cr1 Cr 0.000 0.000 0.000
Ga1 Ga 0.000 0.000 0.500
I1 I 0.500 0.500 0.500
```

***

# 5
Material: Cr3GaI
Method: DFT, PBE-GGA
State: relaxed

Computed properties:
Raw formation energy = 944 meV per atom

CIF file:
```
data_Cr3GaI
_cell_length_a 4.890
_cell_length_b 4.890
_cell_length_c 4.890
_cell_angle_alpha 90.00
_cell_angle_beta 90.00
_cell_angle_gamma 90.00
_symmetry_space_group_name_H-M 'P m -3 m'
_symmetry_Int_Tables_number 221
_symmetry_space_group_name_Hall '-P 4 2 3'
loop_
_atom_site_label
_atom_site_type_symbol
_atom_site_fract_x
_atom_site_fract_y
_atom_site_fract_z
Cr1 Cr 0.000 0.000 0.500
Ga1 Ga 0.000 0.000 0.000
I1 I 0.500 0.500 0.500
```

***

# 6
Material: CrGa2I8
Method: DFT, PBE-GGA
State: relaxed

Computed properties:
Raw formation energy = -435 meV per atom

CIF file:
```
data_CrGa2I8
_cell_length_a 13.058
_cell_length_b 11.280
_cell_length_c 7.166
_cell_angle_alpha 90.00
_cell_angle_beta 91.64
_cell_angle_gamma 90.00
_symmetry_space_group_name_H-M 'C 1 2/m 1'
_symmetry_Int_Tables_number 12
loop_
_symmetry_equiv_pos_as_xyz
'x,y,z'
'-x,-y,-z'
'-x,y,-z'
'x,-y,z'
'x+1/2,y+1/2,z'
'-x+1/2,-y+1/2,-z'
'-x+1/2,y+1/2,-z'
'x+1/2,-y+1/2,z'
loop_
_atom_site_label
_atom_site_type_symbol
_atom_site_fract_x
_atom_site_fract_y
_atom_site_fract_z
Cr1 Cr 0.000 0.000 0.000
Ga1 Ga 0.213 0.000 0.661
I1 I 0.101 0.172 0.807
I2 I 0.104 0.500 0.212
I3 I 0.201 0.000 0.304
```

***

Please write out number 1 again, unchanged.
Material: CrGaI2
Method: DFT, PBE-GGA
State: relaxed

Computed properties:
Raw formation energy = 841 meV per atom

CIF file:
```
data_CrGaI2
_cell_length_a 7.180
_cell_length_b 7.180
_cell_length_c 7.180
_cell_angle_alpha 90.00
_cell_angle_beta 90.00
_cell_angle_gamma 90.00
_symmetry_space_group_name_H-M 'F m -3 m'
_symmetry_Int_Tables_number 225
_symmetry_space_group_name_Hall '-F 4 2 3'
loop_
_atom_site_label
_atom_site_type_symbol
_atom_site_fract_x
_atom_site_fract_y
_atom_site_fract_z
Cr1 Cr 0.000 0.000 0.000
Ga1 Ga 0.000 0.000 0.500
I1 I 0.250 0.250 0.250
```

***

Among the records above, which one has the lowest raw formation energy?
number 6

***

raw formation energy of number 2 (CrGa2I8)?
-431 meV per atom

***

raw formation energy of number 2 (CrGa2I8)?
-431 meV per atom